1.
This record from Alexandria via LeMat-Bulk describes a relaxed structure of Tb5Tm4Cd2. The functional is PBE-GGA.

Lattice parameters (Å, degrees): 8.738 3.510 10.784 90.00 93.38 90.00
Positions (direct):
Tb 0.000 0.000 0.000
Tb 0.049 0.000 0.333
Tb 0.301 0.000 0.840
Tb 0.699 0.000 0.160
Tb 0.951 0.000 0.667
Tm 0.271 0.500 0.560
Tm 0.344 0.500 0.120
Tm 0.656 0.500 0.880
Tm 0.729 0.500 0.440
Cd 0.428 0.000 0.358
Cd 0.572 0.000 0.642

The value obtained for the calculated volume is 330.2 Å³/cell. The formation energy is 0.014 eV/atom.

2.
This record from Alexandria via LeMat-Bulk describes a relaxed structure of BeV2Ir. The functional is PBE-GGA.

Lattice parameters (Å, degrees): 3.009 3.009 5.506 90.00 90.00 90.00
Positions (direct):
Be 0.000 0.000 0.000
V 0.500 0.500 0.213
V 0.500 0.500 0.787
Ir 0.000 0.000 0.500

The value obtained for the calculated volume is 49.8 Å³/cell. The formation energy is -0.177 eV/atom.

3.
This record from Alexandria via LeMat-Bulk describes a relaxed structure of AlTl4Ag. The functional is PBE-GGA.

Lattice parameters (Å, degrees): 6.328 6.328 6.328 60.00 60.00 60.00
Positions (direct):
Al 0.000 0.000 0.000
Tl 0.126 0.625 0.625
Tl 0.625 0.126 0.625
Tl 0.625 0.625 0.126
Tl 0.625 0.625 0.625
Ag 0.250 0.250 0.250

The value obtained for the calculated volume is 179.2 Å³/cell. The formation energy is 0.441 eV/atom.

4.
This record from Alexandria via LeMat-Bulk describes a relaxed structure of Pm4GeSb2Se. The functional is PBE-GGA.

Lattice parameters (Å, degrees): 7.556 4.356 7.590 90.00 109.26 90.00
Positions (direct):
Pm 0.242 0.000 0.236
Pm 0.247 0.500 0.762
Pm 0.753 0.500 0.238
Pm 0.758 0.000 0.764
Ge 0.000 0.500 0.000
Sb 0.000 0.000 0.500
Sb 0.500 0.500 0.500
Se 0.500 0.000 0.000

The value obtained for the calculated volume is 235.8 Å³/cell. The uncorrected formation energy comes out at -1.284 eV/atom.

5.
This record from Alexandria via LeMat-Bulk describes a relaxed structure of GaGeSb2I. The functional is PBE-GGA.

Lattice parameters (Å, degrees): 5.398 5.398 5.977 90.00 90.00 90.00
Positions (direct):
Ga 0.000 0.000 0.000
Ge 0.500 0.500 0.500
Sb 0.000 0.500 0.500
Sb 0.500 0.000 0.500
I 0.500 0.500 0.000

As for the energy relative to the lowest polymorph listed for this composition: 0 meV per atom. The value obtained for the calculated volume is 174.1 Å³/cell. The uncorrected formation energy comes out at 0.501 eV/atom.

6.
This record from Alexandria via LeMat-Bulk describes a relaxed structure of Ho12In6Cu. The functional is PBE-GGA.

Lattice parameters (Å, degrees): 8.056 8.056 8.056 89.96 89.96 89.96
Positions (direct):
Ho 0.035 0.304 0.938
Ho 0.062 0.965 0.696
Ho 0.143 0.366 0.476
Ho 0.304 0.938 0.035
Ho 0.366 0.476 0.143
Ho 0.476 0.143 0.366
Ho 0.524 0.857 0.634
Ho 0.634 0.524 0.857
Ho 0.696 0.062 0.965
Ho 0.857 0.634 0.524
Ho 0.938 0.035 0.304
Ho 0.965 0.696 0.062
In 0.219 0.761 0.384
In 0.239 0.616 0.781
In 0.384 0.219 0.761
In 0.616 0.781 0.239
In 0.761 0.384 0.219
In 0.781 0.239 0.616
Cu 0.500 0.500 0.500

The value obtained for the calculated volume is 522.8 Å³/cell. The formation energy is -0.193 eV/atom.

Which of these has the highest calculated volume? Ho12In6Cu

Repeat the fifth record exactly.
This record from Alexandria via LeMat-Bulk describes a relaxed structure of GaGeSb2I. The functional is PBE-GGA.

Lattice parameters (Å, degrees): 5.398 5.398 5.977 90.00 90.00 90.00
Positions (direct):
Ga 0.000 0.000 0.000
Ge 0.500 0.500 0.500
Sb 0.000 0.500 0.500
Sb 0.500 0.000 0.500
I 0.500 0.500 0.000

As for the energy relative to the lowest polymorph listed for this composition: 0 meV per atom. The value obtained for the calculated volume is 174.1 Å³/cell. The uncorrected formation energy comes out at 0.501 eV/atom.

Repeat the fifth record exactly.
This record from Alexandria via LeMat-Bulk describes a relaxed structure of GaGeSb2I. The functional is PBE-GGA.

Lattice parameters (Å, degrees): 5.398 5.398 5.977 90.00 90.00 90.00
Positions (direct):
Ga 0.000 0.000 0.000
Ge 0.500 0.500 0.500
Sb 0.000 0.500 0.500
Sb 0.500 0.000 0.500
I 0.500 0.500 0.000

As for the energy relative to the lowest polymorph listed for this composition: 0 meV per atom. The value obtained for the calculated volume is 174.1 Å³/cell. The uncorrected formation energy comes out at 0.501 eV/atom.

What is the calculated volume in the sixth record? 522.8 Å³/cell